The following is a DFT calculation (PBE-GGA) of crystalline Sm3CoNi2 at its relaxed geometry.

a b c (Å): 3.912 11.639 11.343
angles (deg): 90.00 90.00 90.00
Atoms (fractional coordinates):
Sm (0.250, 0.377, 0.059)
Sm (0.750, 0.623, 0.941)
Sm (0.750, 0.877, 0.441)
Sm (0.250, 0.123, 0.559)
Sm (0.250, 0.697, 0.209)
Sm (0.750, 0.303, 0.791)
Sm (0.750, 0.197, 0.291)
Sm (0.250, 0.803, 0.709)
Sm (0.250, 0.445, 0.379)
Sm (0.750, 0.555, 0.621)
Sm (0.750, 0.945, 0.121)
Sm (0.250, 0.055, 0.879)
Co (0.250, 0.131, 0.124)
Co (0.750, 0.869, 0.876)
Co (0.750, 0.631, 0.376)
Co (0.250, 0.369, 0.624)
Ni (0.250, 0.690, 0.474)
Ni (0.750, 0.310, 0.526)
Ni (0.750, 0.190, 0.026)
Ni (0.250, 0.810, 0.974)
Ni (0.250, 0.014, 0.310)
Ni (0.750, 0.986, 0.690)
Ni (0.750, 0.514, 0.190)
Ni (0.250, 0.486, 0.810)

Output
- DFT total energy: -5.72 eV/atom
- Formation energy: -1.52 eV/f.u.
- Volume: 517 Å³ per cell
- Size of the total moment: 0.000 μB per cell